# MnSnPHS

A geometry-optimized MnSnPHS structure (PBE-GGA, Alexandria).

```
5
Lattice="-3.2173 -0.7213 0.8544 1.4928 -3.5860 2.5938 0.0718 3.8212 3.4953" Properties=species:S:1:pos:R:3 pbc="T T T"
Mn -1.5140 -1.4179 4.4369
Sn -2.3266 2.2420 4.4694
P -0.3096 0.3846 3.7049
H -1.8534 -1.8028 2.8335
S -0.9890 0.9685 1.6394
```

The calculation puts the calculated total energy at -5.21 eV/atom. The symmetry is Pm (6). As for the volume: 80.9 Å³/f.u.